(1)
Entry from Alexandria via LeMat-Bulk: an optimized crystal structure of Tm12Hg3C5 (PBE-GGA).

Cell: 13.474 13.474 13.474 Å, 109.47 109.47 109.47°
Positions (direct):
C (0.125, 0.375, 0.250)
C (0.000, 0.500, 0.000)
C (0.000, 0.000, 0.000)
C (0.375, 0.250, 0.125)
C (0.500, 0.000, 0.500)
C (0.500, 0.500, 0.000)
C (0.125, 0.750, 0.375)
C (0.750, 0.125, 0.875)
C (0.750, 0.625, 0.375)
C (0.375, 0.125, 0.750)
C (0.625, 0.875, 0.250)
C (0.500, 0.500, 0.500)
C (0.500, 0.000, 0.000)
C (0.000, 0.000, 0.500)
C (0.250, 0.375, 0.625)
C (0.250, 0.875, 0.125)
C (0.000, 0.500, 0.500)
C (0.875, 0.250, 0.625)
C (0.625, 0.750, 0.875)
C (0.875, 0.625, 0.750)
Tm (0.701, 0.114, 0.018)
Tm (0.317, 0.518, 0.404)
Tm (0.982, 0.386, 0.299)
Tm (0.518, 0.201, 0.114)
Tm (0.587, 0.701, 0.683)
Tm (0.982, 0.596, 0.183)
Tm (0.317, 0.799, 0.413)
Tm (0.096, 0.913, 0.114)
Tm (0.596, 0.982, 0.683)
Tm (0.701, 0.587, 0.183)
Tm (0.799, 0.482, 0.386)
Tm (0.817, 0.904, 0.018)
Tm (0.114, 0.701, 0.518)
Tm (0.386, 0.404, 0.087)
Tm (0.087, 0.904, 0.386)
Tm (0.413, 0.114, 0.596)
Tm (0.087, 0.183, 0.201)
Tm (0.482, 0.683, 0.096)
Tm (0.817, 0.913, 0.299)
Tm (0.114, 0.413, 0.096)
Tm (0.386, 0.982, 0.799)
Tm (0.596, 0.614, 0.413)
Tm (0.904, 0.817, 0.518)
Tm (0.799, 0.317, 0.913)
Tm (0.404, 0.386, 0.587)
Tm (0.096, 0.183, 0.482)
Tm (0.201, 0.683, 0.087)
Tm (0.183, 0.087, 0.701)
Tm (0.614, 0.018, 0.201)
Tm (0.886, 0.587, 0.904)
Tm (0.518, 0.317, 0.904)
Tm (0.587, 0.886, 0.404)
Tm (0.913, 0.817, 0.799)
Tm (0.913, 0.096, 0.614)
Tm (0.886, 0.299, 0.482)
Tm (0.183, 0.096, 0.982)
Tm (0.614, 0.596, 0.913)
Tm (0.404, 0.018, 0.317)
Tm (0.299, 0.413, 0.817)
Tm (0.201, 0.518, 0.614)
Tm (0.904, 0.087, 0.886)
Tm (0.683, 0.201, 0.587)
Tm (0.482, 0.799, 0.886)
Tm (0.018, 0.404, 0.817)
Tm (0.413, 0.299, 0.317)
Tm (0.018, 0.614, 0.701)
Tm (0.683, 0.482, 0.596)
Tm (0.299, 0.886, 0.982)
Hg (0.750, 0.375, 0.125)
Hg (0.875, 0.750, 0.125)
Hg (0.375, 0.750, 0.625)
Hg (0.250, 0.125, 0.375)
Hg (0.875, 0.125, 0.250)
Hg (0.375, 0.625, 0.250)
Hg (0.625, 0.375, 0.750)
Hg (0.125, 0.875, 0.750)
Hg (0.750, 0.875, 0.625)
Hg (0.625, 0.250, 0.375)
Hg (0.125, 0.250, 0.875)
Hg (0.250, 0.625, 0.875)

V   1883.05 Å³ per cell
Crystal system   cubic
SG   Ia-3d (230)
Electronic total energy   -5.24 eV per atom


(2)
Entry from Alexandria via LeMat-Bulk: an optimized crystal structure of HoScGaFe (PBE-GGA).

Cell: 4.764 4.764 4.764 Å, 60.00 60.00 60.00°
Each line ends with the local moment (μB).
Positions (direct):
Sc (0.000, 0.000, 0.000)  -0.27
Ho (0.500, 0.500, 0.500)  -0.18
Ga (0.250, 0.250, 0.250)  -0.03
Fe (0.750, 0.750, 0.750)  1.60

V   76.45 Å³ per cell
Crystal system   cubic
SG   F-43m (216)
Electronic total energy   -5.84 eV per atom


(3)
Entry from Alexandria via LeMat-Bulk: an optimized crystal structure of La3CuH (PBE-GGA).

Cell: 4.995 4.995 4.995 Å, 90.00 90.00 90.00°
Positions (direct):
H (0.000, 0.000, 0.000)
Cu (0.500, 0.500, 0.500)
La (0.000, 0.500, 0.000)
La (0.000, 0.000, 0.500)
La (0.500, 0.000, 0.000)

V   124.66 Å³ per cell
Crystal system   cubic
SG   Pm-3m (221)
Electronic total energy   -4.47 eV per atom
E above lowest polymorph   0 meV/atom


(4)
Entry from Alexandria via LeMat-Bulk: an optimized crystal structure of K3Cr2AgBr9 (PBE-GGA).

Cell: 7.511 7.511 9.282 Å, 90.00 90.00 120.00°
Each line ends with the local moment (μB).
Positions (direct):
K (0.333, 0.667, 0.659)  0.00
K (0.000, 0.000, 0.000)  0.00
K (0.667, 0.333, 0.341)  0.00
Cr (0.333, 0.667, 0.165)  3.33
Cr (0.667, 0.333, 0.835)  3.33
Ag (0.000, 0.000, 0.500)  -0.04
Br (0.827, 0.173, 0.680)  -0.03
Br (0.827, 0.654, 0.680)  -0.03
Br (0.346, 0.173, 0.680)  -0.03
Br (0.654, 0.827, 0.320)  -0.03
Br (0.173, 0.346, 0.320)  -0.03
Br (0.173, 0.827, 0.320)  -0.03
Br (0.500, 0.000, 0.000)  -0.02
Br (0.000, 0.500, 0.000)  -0.02
Br (0.500, 0.500, 0.000)  -0.02

V   453.53 Å³ per cell
Crystal system   trigonal
SG   P-3m1 (164)
Energy relative to the elements, uncorrected   -1041.0 meV/atom
Electronic total energy   -3.74 eV per atom